Cd2SnAu9: optimized geometry, PBE-GGA.

Calculated values
total moment: 0.000 μB/f.u.
calculated total energy: -3.026 eV per atom
ΔE_f: -0.082 eV/atom

a b c (Å): 4.179 4.179 13.015
angles (deg): 90.00 90.00 90.00
Space group P4/mmm (No. 123)
Asymmetric unit:
Cd 0.000 0.000 0.164 (multiplicity 2)
Sn 0.000 0.000 0.500 (multiplicity 1)
Au 0.000 0.500 0.000 (multiplicity 2)
Au 0.000 0.500 0.328 (multiplicity 4)
Au 0.500 0.500 0.165 (multiplicity 2)
Au 0.500 0.500 0.500 (multiplicity 1)